[1]
# PBE Cs2AgBi3Pb4, relaxed
data_Cs2AgBi3Pb4
_symmetry_space_group_name_H-M 'P -4 m 2'
_symmetry_Int_Tables_number 115
_symmetry_space_group_name_Hall 'P -4 -2'
_cell_length_a 5.5035
_cell_length_b 5.5035
_cell_length_c 13.0514
_cell_angle_alpha 90.00
_cell_angle_beta 90.00
_cell_angle_gamma 90.00
loop_
_atom_site_label
_atom_site_fract_x
_atom_site_fract_y
_atom_site_fract_z
_atom_site_occupancy
Cs1 0.0000 0.5000 0.2383 1
Ag1 0.5000 0.5000 0.0000 1
Bi1 0.0000 0.0000 0.0000 1
Bi2 0.0000 0.5000 0.6393 1
Pb1 0.0000 0.0000 0.5000 1
Pb2 0.0000 0.5000 0.8857 1
Pb3 0.5000 0.5000 0.5000 1
# Energy relative to the elements (eV per formula unit): -1.3
# Calculated total energy (eV/cell): -32.3


[2]
# PBE CsRb2AgBi, relaxed
data_CsRb2AgBi
_symmetry_space_group_name_H-M 'P 4/m m m'
_symmetry_Int_Tables_number 123
_symmetry_space_group_name_Hall '-P 4 2'
_cell_length_a 6.8095
_cell_length_b 6.8095
_cell_length_c 5.6491
_cell_angle_alpha 90.00
_cell_angle_beta 90.00
_cell_angle_gamma 90.00
loop_
_atom_site_label
_atom_site_fract_x
_atom_site_fract_y
_atom_site_fract_z
_atom_site_occupancy
Cs1 0.0000 0.0000 0.0000 1
Rb1 0.0000 0.5000 0.5000 1
Ag1 0.5000 0.5000 0.5000 1
Bi1 0.5000 0.5000 0.0000 1
# Energy relative to the elements (eV per formula unit): -0.4
# Calculated total energy (eV/cell): -10.0


[3]
# PBE Cs2Ag2BiS4, relaxed
data_Cs2Ag2BiS4
_symmetry_space_group_name_H-M 'C 1 2/m 1'
_symmetry_Int_Tables_number 12
_symmetry_space_group_name_Hall '-C 2y'
_cell_length_a 15.8314
_cell_length_b 4.1953
_cell_length_c 8.2200
_cell_angle_alpha 90.00
_cell_angle_beta 109.41
_cell_angle_gamma 90.00
loop_
_atom_site_label
_atom_site_fract_x
_atom_site_fract_y
_atom_site_fract_z
_atom_site_occupancy
Cs1 0.1327 0.0000 0.0560 1
Ag1 0.1853 0.5000 0.4872 1
Bi1 0.0000 0.0000 0.5000 1
S1 0.0194 0.5000 0.2781 1
S2 0.1914 0.0000 0.6709 1
# Calculated total energy (eV/cell): -65.1
# Formation energy from raw total energies (eV per atom): -0.530


[4]
# PBE CsAg2BiS3, relaxed
data_CsAg2BiS3
_symmetry_space_group_name_H-M 'P 1 21/c 1'
_symmetry_Int_Tables_number 14
_symmetry_space_group_name_Hall '-P 2ybc'
_cell_length_a 13.5937
_cell_length_b 8.2567
_cell_length_c 7.0405
_cell_angle_alpha 90.00
_cell_angle_beta 99.59
_cell_angle_gamma 90.00
loop_
_atom_site_label
_atom_site_fract_x
_atom_site_fract_y
_atom_site_fract_z
_atom_site_occupancy
Cs1 0.1787 0.1182 0.3184 1
Ag1 0.0905 0.7468 0.5295 1
Ag2 0.2694 0.6408 0.3525 1
Bi1 0.4973 0.1303 0.7558 1
S1 0.0915 0.5521 0.2761 1
S2 0.3796 0.6408 0.0474 1
S3 0.3812 0.1234 0.0463 1
# Calculated total energy (eV/cell): -104.8
# Formation energy from raw total energies (eV per atom): -0.482


[5]
# PBE CsAgBi2S4, relaxed
data_CsAgBi2S4
_symmetry_space_group_name_H-M 'C m c m'
_symmetry_Int_Tables_number 63
_symmetry_space_group_name_Hall '-C 2c 2'
_cell_length_a 4.2327
_cell_length_b 14.1340
_cell_length_c 14.9829
_cell_angle_alpha 90.00
_cell_angle_beta 90.00
_cell_angle_gamma 90.00
loop_
_atom_site_label
_atom_site_fract_x
_atom_site_fract_y
_atom_site_fract_z
_atom_site_occupancy
Cs1 0.0000 0.1109 0.2500 1
Ag1 0.0000 0.1626 0.7500 1
Bi1 0.0000 0.3672 0.0583 1
S1 0.0000 0.0000 0.0000 1
S2 0.0000 0.2592 0.5983 1
S3 0.0000 0.4239 0.2500 1
# Calculated total energy (eV/cell): -127.6
# Formation energy from raw total energies (eV per atom): -0.490


[6]
# PBE Cs2Ag2BiSe4, relaxed
data_Cs2Ag2BiSe4
_symmetry_space_group_name_H-M 'C 1 2/m 1'
_symmetry_Int_Tables_number 12
_symmetry_space_group_name_Hall '-C 2y'
_cell_length_a 16.3781
_cell_length_b 4.3305
_cell_length_c 8.5507
_cell_angle_alpha 90.00
_cell_angle_beta 109.55
_cell_angle_gamma 90.00
loop_
_atom_site_label
_atom_site_fract_x
_atom_site_fract_y
_atom_site_fract_z
_atom_site_occupancy
Cs1 0.1324 0.0000 0.0592 1
Ag1 0.1876 0.5000 0.4851 1
Bi1 0.0000 0.0000 0.5000 1
Se1 0.0194 0.5000 0.2752 1
Se2 0.1921 0.0000 0.6759 1
# Calculated total energy (eV/cell): -60.9
# Formation energy from raw total energies (eV per atom): -0.580


[7]
# PBE CsAgBiSe3, relaxed
data_CsAgBiSe3
_symmetry_space_group_name_H-M 'P 1 21/m 1'
_symmetry_Int_Tables_number 11
_symmetry_space_group_name_Hall '-P 2yb'
_cell_length_a 9.8312
_cell_length_b 4.3076
_cell_length_c 10.3613
_cell_angle_alpha 90.00
_cell_angle_beta 111.03
_cell_angle_gamma 90.00
loop_
_atom_site_label
_atom_site_fract_x
_atom_site_fract_y
_atom_site_fract_z
_atom_site_occupancy
Cs1 0.2108 0.2500 0.2470 1
Ag1 0.0737 0.2500 0.5934 1
Bi1 0.3290 0.7500 0.8645 1
Se1 0.1257 0.2500 0.8672 1
Se2 0.2135 0.7500 0.5479 1
Se3 0.4702 0.7500 0.1569 1
# Calculated total energy (eV/cell): -42.0
# Formation energy from raw total energies (eV per atom): -0.498


[8]
# PBE CsAgBiTe3, relaxed
data_CsAgBiTe3
_symmetry_space_group_name_H-M 'P 1 21/m 1'
_symmetry_Int_Tables_number 11
_symmetry_space_group_name_Hall '-P 2yb'
_cell_length_a 10.5267
_cell_length_b 4.5186
_cell_length_c 10.9078
_cell_angle_alpha 90.00
_cell_angle_beta 112.37
_cell_angle_gamma 90.00
loop_
_atom_site_label
_atom_site_fract_x
_atom_site_fract_y
_atom_site_fract_z
_atom_site_occupancy
Cs1 0.2156 0.2500 0.2488 1
Ag1 0.0705 0.2500 0.5880 1
Bi1 0.3253 0.7500 0.8682 1
Te1 0.1156 0.2500 0.8629 1
Te2 0.2173 0.7500 0.5490 1
Te3 0.4800 0.7500 0.1689 1
# Calculated total energy (eV/cell): -38.7
# Formation energy from raw total energies (eV per atom): -0.394


[9]
# PBE CsAgBiTe2, relaxed
data_CsAgBiTe2
_symmetry_space_group_name_H-M 'C m m e'
_symmetry_Int_Tables_number 67
_symmetry_space_group_name_Hall '-C 2a 2'
_cell_length_a 6.4569
_cell_length_b 17.1161
_cell_length_c 7.2139
_cell_angle_alpha 90.00
_cell_angle_beta 90.00
_cell_angle_gamma 90.00
loop_
_atom_site_label
_atom_site_fract_x
_atom_site_fract_y
_atom_site_fract_z
_atom_site_occupancy
Cs1 0.0000 0.2500 0.2490 1
Ag1 0.0000 0.0000 0.5000 1
Bi1 0.2500 0.0000 0.0000 1
Te1 0.0000 0.1218 0.7343 1
# Calculated total energy (eV/cell): -62.0
# Formation energy from raw total energies (eV per atom): -0.326


[10]
# PBE CsTl2AgBi, relaxed
data_CsTl2AgBi
_symmetry_space_group_name_H-M 'P 4/m m m'
_symmetry_Int_Tables_number 123
_symmetry_space_group_name_Hall '-P 4 2'
_cell_length_a 5.7698
_cell_length_b 5.7698
_cell_length_c 5.7894
_cell_angle_alpha 90.00
_cell_angle_beta 90.00
_cell_angle_gamma 90.00
loop_
_atom_site_label
_atom_site_fract_x
_atom_site_fract_y
_atom_site_fract_z
_atom_site_occupancy
Cs1 0.0000 0.0000 0.0000 1
Tl1 0.0000 0.5000 0.5000 1
Ag1 0.5000 0.5000 0.5000 1
Bi1 0.5000 0.5000 0.0000 1
# Energy relative to the elements (eV per formula unit): 0.3
# Calculated total energy (eV/cell): -12.0


[11]
# PBE CsYAgBi2, relaxed
data_CsYAgBi2
_symmetry_space_group_name_H-M 'P 4/m m m'
_symmetry_Int_Tables_number 123
_symmetry_space_group_name_Hall '-P 4 2'
_cell_length_a 6.2525
_cell_length_b 6.2525
_cell_length_c 5.7901
_cell_angle_alpha 90.00
_cell_angle_beta 90.00
_cell_angle_gamma 90.00
loop_
_atom_site_label
_atom_site_fract_x
_atom_site_fract_y
_atom_site_fract_z
_atom_site_occupancy
Cs1 0.0000 0.0000 0.0000 1
Y1 0.0000 0.0000 0.5000 1
Ag1 0.5000 0.5000 0.5000 1
Bi1 0.0000 0.5000 0.0000 1
# Energy relative to the elements (eV per formula unit): 7.3
# Calculated total energy (eV/cell): -10.6


[12]
# PBE CuAgBi2, relaxed
data_CuAgBi2
_symmetry_space_group_name_H-M 'I -4 2 d'
_symmetry_Int_Tables_number 122
_symmetry_space_group_name_Hall 'I -4 2bw'
_cell_length_a 4.8011
_cell_length_b 4.8011
_cell_length_c 18.2800
_cell_angle_alpha 90.00
_cell_angle_beta 90.00
_cell_angle_gamma 90.00
loop_
_atom_site_label
_atom_site_fract_x
_atom_site_fract_y
_atom_site_fract_z
_atom_site_occupancy
Cu1 0.0000 0.0000 0.0000 1
Ag1 0.0000 0.0000 0.5000 1
Bi1 0.2242 0.2500 0.1250 1
# Energy relative to the elements (eV per formula unit): 1.1
# Calculated total energy (eV/cell): -54.4
# ΔE to the lowest computed polymorph (meV/atom): 19


[13]
# PBE CuAgBi, relaxed
data_CuAgBi
_symmetry_space_group_name_H-M 'F -4 3 m'
_symmetry_Int_Tables_number 216
_symmetry_space_group_name_Hall 'F -4 2 3'
_cell_length_a 6.3891
_cell_length_b 6.3891
_cell_length_c 6.3891
_cell_angle_alpha 90.00
_cell_angle_beta 90.00
_cell_angle_gamma 90.00
loop_
_atom_site_label
_atom_site_fract_x
_atom_site_fract_y
_atom_site_fract_z
_atom_site_occupancy
Cu1 0.0000 0.0000 0.0000 1
Ag1 0.2500 0.2500 0.7500 1
Bi1 0.2500 0.2500 0.2500 1
# Energy relative to the elements (eV per formula unit): 0.4
# Calculated total energy (eV/cell): -41.8
# ΔE to the lowest computed polymorph (meV/atom): 17


[14]
# PBE CuAg2Bi2, relaxed
data_CuAg2Bi2
_symmetry_space_group_name_H-M 'P 4/m b m'
_symmetry_Int_Tables_number 127
_symmetry_space_group_name_Hall '-P 4 2ab'
_cell_length_a 7.0677
_cell_length_b 7.0677
_cell_length_c 4.5776
_cell_angle_alpha 90.00
_cell_angle_beta 90.00
_cell_angle_gamma 90.00
loop_
_atom_site_label
_atom_site_fract_x
_atom_site_fract_y
_atom_site_fract_z
_atom_site_occupancy
Cu1 0.0000 0.0000 0.0000 1
Ag1 0.1429 0.3571 0.0000 1
Bi1 0.1713 0.6713 0.5000 1
# Energy relative to the elements (eV per formula unit): 1.2
# Calculated total energy (eV/cell): -32.7
# ΔE to the lowest computed polymorph (meV/atom): 0


[15]
# PBE CuAgBi, relaxed
data_CuAgBi
_symmetry_space_group_name_H-M 'I 4 m m'
_symmetry_Int_Tables_number 107
_symmetry_space_group_name_Hall 'I 4 -2'
_cell_length_a 3.3928
_cell_length_b 3.3928
_cell_length_c 10.6582
_cell_angle_alpha 90.00
_cell_angle_beta 90.00
_cell_angle_gamma 90.00
loop_
_atom_site_label
_atom_site_fract_x
_atom_site_fract_y
_atom_site_fract_z
_atom_site_occupancy
Cu1 0.0000 0.0000 0.0000 1
Ag1 0.0000 0.0000 0.6209 1
Bi1 0.0000 0.0000 0.3253 1
# Energy relative to the elements (eV per formula unit): 0.6
# Calculated total energy (eV/cell): -20.5
# ΔE to the lowest computed polymorph (meV/atom): 89


[16]
# PBE Cu3AgBi, relaxed
data_Cu3AgBi
_symmetry_space_group_name_H-M 'P m -3 m'
_symmetry_Int_Tables_number 221
_symmetry_space_group_name_Hall '-P 4 2 3'
_cell_length_a 4.7320
_cell_length_b 4.7320
_cell_length_c 4.7320
_cell_angle_alpha 90.00
_cell_angle_beta 90.00
_cell_angle_gamma 90.00
loop_
_atom_site_label
_atom_site_fract_x
_atom_site_fract_y
_atom_site_fract_z
_atom_site_occupancy
Cu1 0.0000 0.0000 0.5000 1
Ag1 0.0000 0.0000 0.0000 1
Bi1 0.5000 0.5000 0.5000 1
# Energy relative to the elements (eV per formula unit): 3.7
# Calculated total energy (eV/cell): -15.3
# ΔE to the lowest computed polymorph (meV/atom): 0


[17]
# PBE CuAg2Bi2, relaxed
data_CuAg2Bi2
_symmetry_space_group_name_H-M 'P 4/m b m'
_symmetry_Int_Tables_number 127
_symmetry_space_group_name_Hall '-P 4 2ab'
_cell_length_a 7.3556
_cell_length_b 7.3556
_cell_length_c 4.5228
_cell_angle_alpha 90.00
_cell_angle_beta 90.00
_cell_angle_gamma 90.00
loop_
_atom_site_label
_atom_site_fract_x
_atom_site_fract_y
_atom_site_fract_z
_atom_site_occupancy
Cu1 0.0000 0.0000 0.0000 1
Ag1 0.1391 0.3609 0.5000 1
Bi1 0.1652 0.6652 0.0000 1
# Energy relative to the elements (eV per formula unit): 1.3
# Calculated total energy (eV/cell): -32.5
# ΔE to the lowest computed polymorph (meV/atom): 20


[18]
# PBE CuAgBi2, relaxed
data_CuAgBi2
_symmetry_space_group_name_H-M 'R -3 m'
_symmetry_Int_Tables_number 166
_symmetry_space_group_name_Hall '-R 3 2"'
_cell_length_a 3.5074
_cell_length_b 3.5074
_cell_length_c 28.9855
_cell_angle_alpha 90.00
_cell_angle_beta 90.00
_cell_angle_gamma 120.00
loop_
_atom_site_label
_atom_site_fract_x
_atom_site_fract_y
_atom_site_fract_z
_atom_site_occupancy
Cu1 0.0000 0.0000 0.0000 1
Ag1 0.0000 0.0000 0.5000 1
Bi1 0.0000 0.0000 0.4022 1
# Energy relative to the elements (eV per formula unit): 1.2
# Calculated total energy (eV/cell): -40.5
# ΔE to the lowest computed polymorph (meV/atom): 46


[19]
# PBE Cu4AgBi, relaxed
data_Cu4AgBi
_symmetry_space_group_name_H-M 'F -4 3 m'
_symmetry_Int_Tables_number 216
_symmetry_space_group_name_Hall 'F -4 2 3'
_cell_length_a 7.2121
_cell_length_b 7.2121
_cell_length_c 7.2121
_cell_angle_alpha 90.00
_cell_angle_beta 90.00
_cell_angle_gamma 90.00
loop_
_atom_site_label
_atom_site_fract_x
_atom_site_fract_y
_atom_site_fract_z
_atom_site_occupancy
Cu1 0.1243 0.1243 0.1243 1
Ag1 0.2500 0.2500 0.7500 1
Bi1 0.0000 0.0000 0.5000 1
# Energy relative to the elements (eV per formula unit): 0.5
# Calculated total energy (eV/cell): -90.3


[20]
# PBE Cu2AgBi2, relaxed
data_Cu2AgBi2
_symmetry_space_group_name_H-M 'I 4/m m m'
_symmetry_Int_Tables_number 139
_symmetry_space_group_name_Hall '-I 4 2'
_cell_length_a 3.5153
_cell_length_b 3.5153
_cell_length_c 17.5317
_cell_angle_alpha 90.00
_cell_angle_beta 90.00
_cell_angle_gamma 90.00
loop_
_atom_site_label
_atom_site_fract_x
_atom_site_fract_y
_atom_site_fract_z
_atom_site_occupancy
Cu1 0.0000 0.5000 0.2500 1
Ag1 0.0000 0.0000 0.0000 1
Bi1 0.0000 0.0000 0.3821 1
# Energy relative to the elements (eV per formula unit): 0.9
# Calculated total energy (eV/cell): -35.9
# ΔE to the lowest computed polymorph (meV/atom): 1